# 1
{"formula": "Cs2MgInBi2", "functional": "PBE-GGA", "state": "relaxed", "formation_energy_ev_per_atom": -0.38, "spacegroup": "Ibam (72)", "final_energy_ev_per_cell": -32.1, "cell": [[7.491, 0.000, 0.000], [0.000, 7.497, 0.000], [-3.746, -3.748, 8.981]], "species": ["Cs", "Cs", "Cs", "Cs", "In", "In", "Bi", "Bi", "Bi", "Bi", "Mg", "Mg"], "frac_coords": [[0.594, 0.831, 0.662], [0.932, 0.669, 0.338], [0.068, 0.331, 0.662], [0.406, 0.169, 0.338], [0.000, 0.750, 0.000], [0.000, 0.250, 0.000], [0.360, 0.593, 0.187], [0.827, 0.093, 0.187], [0.173, 0.907, 0.813], [0.640, 0.407, 0.813], [0.500, 0.750, 0.000], [0.500, 0.250, 0.000]]}

=====

# 2
{"formula": "CsMgInBi2", "functional": "PBE-GGA", "state": "relaxed", "formation_energy_ev_per_atom": -0.33, "spacegroup": "I-4m2 (119)", "final_energy_ev_per_cell": -14.6, "cell": [[4.799, 0.000, 0.000], [0.000, 4.799, 0.000], [-2.400, -2.400, 8.233]], "species": ["Mg", "Cs", "Bi", "Bi", "In"], "frac_coords": [[0.250, 0.750, 0.500], [0.000, 0.000, 0.000], [0.637, 0.637, 0.273], [0.363, 0.363, 0.727], [0.750, 0.250, 0.500]]}

=====

# 3
{"formula": "CsMgInBi", "functional": "PBE-GGA", "state": "relaxed", "formation_energy_ev_per_atom": -0.15, "spacegroup": "Cm (8)", "final_energy_ev_per_cell": -9.7, "cell": [[3.944, 0.000, 0.005], [0.000, 3.944, -0.005], [-0.012, 0.012, 8.854]], "species": ["Cs", "In", "Mg", "Bi"], "frac_coords": [[0.645, 0.355, 0.968], [0.147, 0.853, 0.652], [0.647, 0.353, 0.474], [0.146, 0.854, 0.296]]}

=====

# 4
{"formula": "CsNa2InBi2", "functional": "PBE-GGA", "state": "relaxed", "formation_energy_ev_per_atom": -0.27, "spacegroup": "Pmc2_1 (26)", "final_energy_ev_per_cell": -31.2, "cell": [[5.205, 0.000, 0.000], [0.000, 9.484, 0.000], [0.000, 0.000, 9.022]], "species": ["Bi", "Bi", "Bi", "Bi", "In", "In", "Cs", "Cs", "Na", "Na", "Na", "Na"], "frac_coords": [[0.000, 0.192, 0.860], [0.000, 0.692, 0.140], [0.500, 0.796, 0.634], [0.500, 0.296, 0.366], [0.500, 0.634, 0.329], [0.500, 0.134, 0.671], [0.000, 0.495, 0.600], [0.000, 0.995, 0.400], [0.500, 0.570, 0.945], [0.000, 0.359, 0.172], [0.500, 0.070, 0.055], [0.000, 0.859, 0.828]]}

=====

# 5
{"formula": "CsNaInBi2", "functional": "PBE-GGA", "state": "relaxed", "formation_energy_ev_per_atom": -0.28, "spacegroup": "I-4m2 (119)", "final_energy_ev_per_cell": -14.1, "cell": [[5.372, 0.000, 0.000], [0.000, 5.372, 0.000], [-2.686, -2.686, 6.643]], "species": ["In", "Cs", "Bi", "Bi", "Na"], "frac_coords": [[0.250, 0.750, 0.500], [0.000, 0.000, 0.000], [0.381, 0.381, 0.762], [0.619, 0.619, 0.238], [0.750, 0.250, 0.500]]}

=====

# 6
{"formula": "Cs2NaIn3Bi4", "functional": "PBE-GGA", "state": "relaxed", "formation_energy_ev_per_atom": -0.24, "spacegroup": "P-4m2 (115)", "final_energy_ev_per_cell": -29.2, "cell": [[-1.791, -5.152, -1.092], [0.760, -1.394, 5.331], [-11.468, 3.448, 2.537]], "species": ["In", "In", "In", "Bi", "Bi", "Bi", "Bi", "Cs", "Cs", "Na"], "frac_coords": [[0.500, 0.000, 0.876], [0.000, 0.000, 0.500], [0.000, 0.500, 0.124], [0.000, 0.500, 0.368], [0.500, 0.500, 0.000], [0.500, 0.000, 0.632], [0.000, 0.000, 0.000], [0.000, 0.500, 0.750], [0.500, 0.000, 0.250], [0.500, 0.500, 0.500]]}

=====

# 7
{"formula": "CsNaIn2Bi2", "functional": "PBE-GGA", "state": "relaxed", "formation_energy_ev_per_atom": -0.29, "spacegroup": "P-3m1 (164)", "final_energy_ev_per_cell": -17.1, "cell": [[-4.538, 0.025, -2.967], [4.768, -1.075, -2.347], [-1.131, -8.632, 1.656]], "species": ["In", "In", "Na", "Bi", "Bi", "Cs"], "frac_coords": [[0.333, 0.667, 0.636], [0.667, 0.333, 0.364], [0.000, 0.000, 0.500], [0.333, 0.667, 0.287], [0.667, 0.333, 0.713], [0.000, 0.000, 0.000]]}

=====

# 8
{"formula": "CsInNi2Bi", "functional": "PBE-GGA", "state": "relaxed", "formation_energy_ev_per_atom": 0.63, "spacegroup": "P4/mmm (123)", "final_energy_ev_per_cell": -15.9, "cell": [[-1.816, -2.285, 4.184], [5.261, 1.020, 2.841], [-1.774, 4.480, 1.676]], "species": ["Cs", "In", "Ni", "Ni", "Bi"], "frac_coords": [[0.500, 0.500, 0.500], [0.000, 0.500, 0.000], [0.000, 0.000, 0.500], [0.500, 0.000, 0.000], [0.000, 0.000, 0.000]]}

=====

# 9
{"formula": "Cs2In2Bi2O", "functional": "PBE-GGA", "state": "relaxed", "spacegroup": "C2/m (12)", "final_energy_ev_per_cell": -24.3, "formation_energy_uncorrected_ev_per_atom": -0.633, "cell": [[4.807, 0.000, 0.000], [2.404, 7.011, -0.233], [2.404, 2.437, 7.612]], "species": ["In", "In", "Cs", "Cs", "Bi", "Bi", "O"], "frac_coords": [[0.831, 0.277, 0.062], [0.169, 0.723, 0.938], [0.549, 0.190, 0.712], [0.451, 0.810, 0.288], [0.809, 0.640, 0.742], [0.191, 0.360, 0.258], [0.000, 0.000, 0.000]]}

=====

# 10
{"formula": "Cs2InBiO4", "functional": "PBE-GGA", "state": "relaxed", "spacegroup": "I-4 (82)", "final_energy_ev_per_cell": -39.0, "formation_energy_uncorrected_ev_per_atom": -1.361, "cell": [[6.508, 0.002, -0.004], [0.000, 6.507, -0.003], [-3.252, -3.252, 4.550]], "species": ["O", "O", "O", "O", "Cs", "Cs", "Bi", "In"], "frac_coords": [[0.723, 0.620, 0.716], [0.376, 0.749, 0.227], [0.993, 0.096, 0.716], [0.852, 0.478, 0.227], [0.486, 0.986, 0.972], [0.236, 0.236, 0.472], [0.986, 0.486, 0.972], [0.736, 0.736, 0.472]]}

=====

# 11
{"formula": "Cs3PaIn2Bi6", "functional": "PBE-GGA", "state": "relaxed", "formation_energy_ev_per_atom": -0.08, "spacegroup": "C2/m (12)", "final_energy_ev_per_cell": -41.8, "cell": [[-2.306, 5.789, 3.081], [-5.557, -2.133, -3.590], [-1.859, -5.907, 7.921]], "species": ["Bi", "Bi", "Bi", "Bi", "Bi", "Bi", "In", "In", "Cs", "Cs", "Cs", "Pa"], "frac_coords": [[0.604, 0.904, 0.800], [0.096, 0.396, 0.200], [0.396, 0.096, 0.200], [0.740, 0.740, 0.198], [0.904, 0.604, 0.800], [0.260, 0.260, 0.802], [0.338, 0.662, 0.000], [0.662, 0.338, 0.000], [0.832, 0.168, 0.500], [0.500, 0.500, 0.500], [0.168, 0.832, 0.500], [0.000, 0.000, 0.000]]}

=====

# 12
{"formula": "CsInBiPb", "functional": "PBE-GGA", "state": "relaxed", "formation_energy_ev_per_atom": -0.10, "spacegroup": "P4/nmm (129)", "final_energy_ev_per_cell": -23.1, "cell": [[4.902, 0.000, 0.000], [0.000, 4.902, 0.000], [0.000, 0.000, 14.786]], "species": ["Pb", "Pb", "In", "In", "Cs", "Cs", "Bi", "Bi"], "frac_coords": [[0.750, 0.250, 0.500], [0.250, 0.750, 0.500], [0.250, 0.750, 0.000], [0.750, 0.250, 0.000], [0.750, 0.750, 0.268], [0.250, 0.250, 0.732], [0.250, 0.250, 0.124], [0.750, 0.750, 0.876]]}